1.
LiMg2Zr GGA-PBE relaxed; total DFT energy (no corrections) = -13.56 eV per cell; space-group type = No. 8
1.0
2.654 -1.546 0.000
2.654 1.546 0.000
-1.608 0.000 10.624
Li Mg Zr
1 2 1
Cartesian
0.000 0.000 0.000
1.839 0.000 2.590
1.850 0.000 8.055
0.042 0.000 5.326

***

2.
AcCeMgPb GGA-PBE relaxed; total DFT energy (no corrections) = -16.10 eV per cell; space-group type = No. 216
1.0
0.000 4.020 4.020
4.020 0.000 4.020
4.020 4.020 0.000
Ac Ce Mg Pb
1 1 1 1
Cartesian
0.000 0.000 0.000
4.020 4.020 4.020
2.010 2.010 2.010
6.030 6.030 6.030

***

3.
NpMnTl2Te4 GGA-PBE relaxed; ΔE_f (raw) = -36.73 kJ per mole of atoms; space-group type = No. 10
1.0
7.490 0.000 0.000
0.000 4.331 0.000
-2.494 0.000 8.111
Np Mn Tl Te
1 1 2 4
Cartesian
0.000 0.000 0.000
3.745 2.166 0.000
-1.247 2.166 4.056
2.498 0.000 4.056
1.331 2.166 1.708
0.117 0.000 6.522
4.879 0.000 1.589
3.665 2.166 6.403

***

4.
VFe2Ni2 GGA-PBE relaxed; excess energy over the best structure of this formula in the dataset = 0 meV per atom; space-group type = No. 127
1.0
6.876 0.000 0.000
0.000 6.876 0.000
0.000 0.000 2.539
V Fe Ni
2 4 4
Cartesian
0.000 0.000 0.000
3.438 3.438 0.000
1.182 2.256 1.269
2.256 5.694 1.269
4.620 1.182 1.269
5.694 4.620 1.269
0.857 4.295 0.000
2.581 0.857 0.000
4.295 6.019 0.000
6.019 2.581 0.000

***

5.
OsRu2Cl GGA-PBE relaxed; ΔE_f (raw) = 101.68 kJ per mole of atoms; excess energy over the best structure of this formula in the dataset = 651 meV per atom; space-group type = No. 225
1.0
0.000 3.094 3.094
3.094 0.000 3.094
3.094 3.094 0.000
Os Ru Cl
1 2 1
Cartesian
0.000 0.000 0.000
1.547 1.547 1.547
4.641 4.641 4.641
3.094 3.094 3.094

***

6.
CaSm3Mg2 GGA-PBE relaxed; total DFT energy (no corrections) = -19.54 eV per cell; space-group type = No. 123
1.0
3.864 0.000 0.000
0.000 3.864 0.000
0.000 0.000 12.646
Ca Sm Mg
1 3 2
Cartesian
0.000 0.000 0.000
1.932 1.932 2.598
1.932 1.932 6.323
1.932 1.932 10.048
0.000 0.000 4.446
0.000 0.000 8.200

***

7.
RbIn12Pb7 GGA-PBE relaxed; total DFT energy (no corrections) = -57.03 eV per cell; space-group type = No. 204
1.0
-5.721 5.721 5.721
5.721 -5.721 5.721
5.721 5.721 -5.721
Rb In Pb
1 12 7
Cartesian
0.000 0.000 0.000
5.721 -1.622 2.900
4.099 2.821 0.000
7.343 2.821 0.000
2.900 5.721 -1.622
2.821 0.000 4.099
5.721 1.622 2.900
0.000 4.099 2.821
2.900 5.721 1.622
2.821 0.000 7.343
-1.622 2.900 5.721
1.622 2.900 5.721
0.000 7.343 2.821
2.860 2.860 -2.860
2.860 -2.860 2.860
5.721 0.000 0.000
-2.860 2.860 2.860
0.000 5.721 0.000
0.000 0.000 5.721
2.860 2.860 2.860

***

8.
SiSe GGA-PBE relaxed; ΔE_f (raw) = 74.08 kJ per mole of atoms; space-group type = No. 194
1.0
4.748 0.000 0.000
-2.374 4.112 0.000
0.000 0.000 10.409
Si Se
4 4
Cartesian
0.000 2.741 1.410
0.000 2.741 3.795
2.374 1.371 6.614
2.374 1.371 8.999
0.000 0.000 2.602
0.000 0.000 7.807
0.000 2.741 7.807
2.374 1.371 2.602

***

9.
AcErB2O6 GGA-PBE relaxed; ΔE_f (raw) = -299.10 kJ per mole of atoms; space-group type = No. 15
1.0
4.140 -4.915 0.000
4.140 4.915 0.000
-2.082 0.000 6.176
Ac Er B O
2 2 4 12
Cartesian
2.578 3.427 4.632
3.619 -3.427 1.544
3.619 0.885 1.544
2.578 -0.885 4.632
0.513 1.183 4.509
1.554 -1.183 1.421
4.643 1.183 4.755
5.684 -1.183 1.667
2.106 2.520 2.002
0.283 0.048 3.756
1.325 -0.048 0.668
1.505 1.114 5.479
5.132 2.520 1.086
3.651 1.114 3.785
2.546 -1.114 2.391
1.065 -2.520 5.090
4.692 -1.114 0.697
4.873 0.048 5.508
5.914 -0.048 2.420
4.091 -2.520 4.174

***

10.
MgBeTlCo2 GGA-PBE relaxed; total DFT energy (no corrections) = -19.64 eV per cell; space-group type = No. 123
1.0
4.080 0.000 0.000
0.000 4.080 0.000
0.000 0.000 4.361
Mg Be Tl Co
1 1 1 2
Cartesian
0.000 0.000 0.000
0.000 0.000 2.181
2.040 2.040 0.000
0.000 2.040 2.181
2.040 0.000 2.181

***

11.
CaMo2Rh GGA-PBE relaxed; excess energy over the best structure of this formula in the dataset = 540 meV per atom; space-group type = No. 225
1.0
0.000 3.230 3.230
3.230 0.000 3.230
3.230 3.230 0.000
Ca Mo Rh
1 2 1
Cartesian
0.000 0.000 0.000
1.615 1.615 1.615
4.845 4.845 4.845
3.230 3.230 3.230

***

12.
CaPr4Nd3S8 GGA-PBE relaxed; ΔE_f (raw) = -195.48 kJ per mole of atoms; space-group type = No. 166
1.0
4.081 2.356 6.677
-4.081 2.356 6.677
0.000 -4.712 6.677
Ca Pr Nd S
1 4 3 8
Cartesian
0.000 0.000 0.000
-4.081 0.000 10.015
-2.040 1.178 3.338
2.040 1.178 3.338
0.000 0.000 10.015
-2.040 -1.178 6.677
-2.040 1.178 13.354
0.000 2.356 6.677
0.000 -2.389 8.302
-2.069 1.194 8.302
-2.069 -1.194 11.729
0.000 0.000 5.030
0.000 0.000 15.001
2.069 1.194 8.302
2.069 -1.194 11.729
0.000 2.389 11.729

***

13.
Tb2Pr2Sb2C GGA-PBE relaxed; ΔE_f (raw) = -79.43 kJ per mole of atoms; space-group type = No. 139
1.0
-2.413 2.413 8.240
2.413 -2.413 8.240
2.413 2.413 -8.240
Tb Pr Sb C
2 2 2 1
Cartesian
2.413 0.000 0.000
0.000 2.413 0.000
0.000 0.000 2.693
0.000 0.000 13.788
0.000 0.000 5.994
0.000 0.000 10.487
0.000 0.000 0.000

***

14.
Sr2GaCu2 GGA-PBE relaxed; total DFT energy (no corrections) = -14.82 eV per cell; space-group type = No. 139
1.0
-1.799 1.799 9.600
1.799 -1.799 9.600
1.799 1.799 -9.600
Sr Ga Cu
2 1 2
Cartesian
0.000 0.000 2.151
0.000 0.000 17.048
0.000 0.000 9.600
1.799 0.000 4.800
0.000 1.799 4.800

***

15.
ZrTaPt2 GGA-PBE relaxed; total DFT energy (no corrections) = -35.39 eV per cell; space-group type = No. 139
1.0
-2.052 2.052 4.107
2.052 -2.052 4.107
2.052 2.052 -4.107
Zr Ta Pt
1 1 2
Cartesian
0.000 0.000 0.000
0.000 0.000 4.107
2.052 0.000 2.054
0.000 2.052 2.054

***

16.
Y2BiI2 GGA-PBE relaxed; ΔE_f (raw) = -110.25 kJ per mole of atoms; space-group type = No. 166
1.0
2.200 1.270 11.370
-2.200 1.270 11.370
0.000 -2.541 11.370
Y Bi I
2 1 2
Cartesian
0.000 0.000 3.938
0.000 0.000 30.172
0.000 0.000 17.055
0.000 0.000 9.348
0.000 0.000 24.762

***

17.
NdDy3Sc GGA-PBE relaxed; total DFT energy (no corrections) = -98.11 eV per cell; space-group type = No. 15
1.0
7.546 -6.495 0.000
7.546 6.495 0.000
-1.608 0.000 6.292
Nd Dy Sc
4 12 4
Cartesian
6.339 5.489 4.719
7.144 4.076 1.573
6.339 -4.076 4.719
7.144 -5.489 1.573
2.786 2.516 1.007
2.038 0.885 4.112
5.207 2.236 3.418
2.842 -0.885 0.965
1.982 -2.516 4.153
7.472 2.236 6.020
6.011 -2.236 0.272
11.501 2.516 2.139
10.641 0.885 5.327
8.276 -2.236 2.874
11.445 -0.885 2.181
10.697 -2.516 5.285
5.963 1.001 0.349
5.159 -1.001 3.495
8.324 1.001 2.797
7.520 -1.001 5.943

***

18.
Zn2NiSb GGA-PBE relaxed; ΔE_f (raw) = 16.51 kJ per mole of atoms; space-group type = No. 216
1.0
0.000 3.222 3.222
3.222 0.000 3.222
3.222 3.222 0.000
Zn Ni Sb
2 1 1
Cartesian
0.000 0.000 0.000
1.611 1.611 1.611
3.222 3.222 3.222
4.833 4.833 4.833

***

19.
VCuSn4 GGA-PBE relaxed; total DFT energy (no corrections) = -58.37 eV per cell; space-group type = No. 124
1.0
6.780 0.000 0.000
0.000 6.780 0.000
0.000 0.000 5.415
V Cu Sn
2 2 8
Cartesian
0.000 0.000 1.354
0.000 0.000 4.061
3.390 3.390 1.354
3.390 3.390 4.061
1.024 2.263 0.000
1.024 4.517 2.707
2.263 1.024 2.707
2.263 5.756 0.000
4.517 1.024 0.000
4.517 5.756 2.707
5.756 2.263 2.707
5.756 4.517 0.000

***

20.
SrTbEr2Se4 GGA-PBE relaxed; ΔE_f (raw) = -171.35 kJ per mole of atoms; space-group type = No. 10
1.0
7.176 0.000 0.000
0.000 4.112 0.000
-2.343 0.000 6.786
Sr Tb Er Se
1 1 2 4
Cartesian
0.000 0.000 0.000
3.588 2.056 0.000
-1.172 2.056 3.393
2.416 0.000 3.393
0.079 0.000 5.020
1.256 2.056 1.804
3.577 2.056 4.982
4.754 0.000 1.766

***

The calculation returns the following size of the total moment values, one per record and in order: 0.0000, 0.3549, 1.0012, 0.8526, 0.0895, 0.0000, 0.0000, 0.0000, 0.0000, 0.0000, 0.0000, 0.0000, 0.0003, 0.0000, 0.0000, 0.0000, 0.0000, 0.0000, 0.0000, 0.0004 μB/atom.